(1)
Density functional theory data (GGA-PBE) for BaY2Cu after structural relaxation.

Space group: No. 123
VASP energy (eV per atom): -4.3046
Formation enthalpy at 0 K (eV per atom): 0.432

Unit cell a=5.3880 b=5.3880 c=4.0624 alpha=90.00 beta=90.00 gamma=90.00
Closest atoms and distances in Å follow each position.
Sites, in units of the cell vectors:
Ba  0.0000  0.0000  0.0000  8 Y 3.37
Y  0.0000  0.5000  0.5000  4 Ba 3.37, 4 Cu 3.37
Y  0.5000  0.0000  0.5000  4 Ba 3.37, 4 Cu 3.37
Cu  0.5000  0.5000  0.0000  8 Y 3.37

=====

(2)
Density functional theory data (GGA-PBE) for Cr2FePt after structural relaxation.

Space group: No. 139
VASP energy (eV per atom): -8.4823
Formation enthalpy at 0 K (eV per atom): -0.045

Unit cell a=4.5336 b=4.5336 c=4.5336 alpha=132.56 beta=132.56 gamma=69.34
Closest atoms and distances in Å follow each position.
Sites, in units of the cell vectors:
Cr  0.2500  0.7500  0.5000  4 Cr 2.58, 4 Pt 2.61, 4 Fe 2.61
Cr  0.7500  0.2500  0.5000  4 Cr 2.58, 4 Pt 2.61, 4 Fe 2.61
Fe  0.0000  0.0000  0.0000  4 Pt 2.58, 8 Cr 2.61
Pt  0.5000  0.5000  0.0000  4 Fe 2.58, 8 Cr 2.61

=====

(3)
Density functional theory data (GGA-PBE) for InTc3S after structural relaxation.

Space group: No. 221
Formation energy without anion corrections (kJ/mol of atoms): 31.08
VASP energy (eV per atom): -7.2706

Unit cell a=4.3936 b=4.3936 c=4.3936 alpha=90.00 beta=90.00 gamma=90.00
Closest atoms and distances in Å follow each position.
Sites, in units of the cell vectors:
In  0.0000  0.0000  0.0000  12 Tc 3.11
Tc  0.0000  0.5000  0.5000  2 S 2.20
Tc  0.5000  0.0000  0.5000  2 S 2.20
Tc  0.5000  0.5000  0.0000  2 S 2.20
S  0.5000  0.5000  0.5000  6 Tc 2.20

=====

(4)
Density functional theory data (GGA-PBE) for GdMgTiAl after structural relaxation.

Space group: No. 216
VASP energy (eV per atom): -6.9021
Formation enthalpy at 0 K (eV per atom): -0.074

Unit cell a=4.9236 b=4.9236 c=4.9236 alpha=60.00 beta=60.00 gamma=60.00
Closest atoms and distances in Å follow each position.
Sites, in units of the cell vectors:
Gd  0.0000  0.0000  0.0000  4 Mg 3.02, 4 Al 3.02
Mg  0.7500  0.7500  0.7500  4 Ti 3.02, 4 Gd 3.02
Ti  0.5000  0.5000  0.5000  4 Mg 3.02, 4 Al 3.02
Al  0.2500  0.2500  0.2500  4 Gd 3.02, 4 Ti 3.02

=====

Copy entry 1 word for word.
Density functional theory data (GGA-PBE) for BaY2Cu after structural relaxation.

Space group: No. 123
VASP energy (eV per atom): -4.3046
Formation enthalpy at 0 K (eV per atom): 0.432

Unit cell a=5.3880 b=5.3880 c=4.0624 alpha=90.00 beta=90.00 gamma=90.00
Closest atoms and distances in Å follow each position.
Sites, in units of the cell vectors:
Ba  0.0000  0.0000  0.0000  8 Y 3.37
Y  0.0000  0.5000  0.5000  4 Ba 3.37, 4 Cu 3.37
Y  0.5000  0.0000  0.5000  4 Ba 3.37, 4 Cu 3.37
Cu  0.5000  0.5000  0.0000  8 Y 3.37

=====

- Which value of VASP energy does entry 4 give?
  -6.9021 eV per atom

=====

- Which of these has the highest VASP energy?
  BaY2Cu

=====

- VASP energy of number 1 (BaY2Cu)?
  -4.3046 eV per atom